Below is a geometry-optimized CaHgRu structure, with properties calculated at the PBE level.

The structure in CIF format:
```
data_CaHgRu
_chemical_formula_sum 'Ca4 Hg4 Ru4'
_space_group_name_H-M_alt 'F -4 3 m'
_space_group_IT_number 216
_space_group_name_Hall 'F -4 2 3'
_cell_length_a 6.6806
_cell_length_b 6.6806
_cell_length_c 6.6806
_cell_angle_alpha 90.00
_cell_angle_beta 90.00
_cell_angle_gamma 90.00
loop_
_atom_site_label
_atom_site_type_symbol
_atom_site_fract_x
_atom_site_fract_y
_atom_site_fract_z
Ca1 Ca 0.0000 0.0000 0.0000
Hg1 Hg 0.2500 0.2500 0.2500
Ru1 Ru 0.2500 0.2500 0.7500
```

Summary:
- Calculated volume: 24.847 A^3/atom
- Total magnetic moment: 0.90 μB/f.u.
- E_tot: -2.968 eV per atom


Below is a geometry-optimized CaHgRu2 structure, with properties calculated at the PBE level.

The structure in CIF format:
```
data_CaHgRu2
_chemical_formula_sum 'Ca2 Hg2 Ru4'
_space_group_name_H-M_alt 'C 1 2/m 1'
_space_group_IT_number 12
_space_group_name_Hall '-C 2y'
_cell_length_a 5.7872
_cell_length_b 9.6187
_cell_length_c 2.9247
_cell_angle_alpha 90.00
_cell_angle_beta 117.03
_cell_angle_gamma 90.00
loop_
_atom_site_label
_atom_site_type_symbol
_atom_site_fract_x
_atom_site_fract_y
_atom_site_fract_z
Ca1 Ca 0.0000 0.0000 0.0000
Hg1 Hg 0.0000 0.5000 0.0000
Ru1 Ru 0.2500 0.2500 0.5000
```

Summary:
- Calculated volume: 18.128 A^3/atom
- Total magnetic moment: 1.16 μB/f.u.
- E_tot: -4.730 eV per atom


Below is a geometry-optimized CaHg3Ru structure, with properties calculated at the PBE level.

The structure in CIF format:
```
data_CaHg3Ru
_chemical_formula_sum 'Ca1 Hg3 Ru1'
_space_group_name_H-M_alt 'P m -3 m'
_space_group_IT_number 221
_space_group_name_Hall '-P 4 2 3'
_cell_length_a 5.2130
_cell_length_b 5.2130
_cell_length_c 5.2130
_cell_angle_alpha 90.00
_cell_angle_beta 90.00
_cell_angle_gamma 90.00
loop_
_atom_site_label
_atom_site_type_symbol
_atom_site_fract_x
_atom_site_fract_y
_atom_site_fract_z
Ca1 Ca 0.0000 0.0000 0.0000
Hg1 Hg 0.0000 0.5000 0.5000
Ru1 Ru 0.5000 0.5000 0.5000
```

Summary:
- Calculated volume: 28.333 A^3/atom
- Total magnetic moment: 0.00 μB/f.u.
- E_tot: -2.271 eV per atom


Below is a geometry-optimized Ca2HgRu structure, with properties calculated at the PBE level.

The structure in CIF format:
```
data_Ca2HgRu
_chemical_formula_sum 'Ca2 Hg1 Ru1'
_space_group_name_H-M_alt 'P 4 m m'
_space_group_IT_number 99
_space_group_name_Hall 'P 4 -2'
_cell_length_a 3.6333
_cell_length_b 3.6333
_cell_length_c 7.8787
_cell_angle_alpha 90.00
_cell_angle_beta 90.00
_cell_angle_gamma 90.00
loop_
_atom_site_label
_atom_site_type_symbol
_atom_site_fract_x
_atom_site_fract_y
_atom_site_fract_z
Ca1 Ca 0.0000 0.0000 0.0000
Ca2 Ca 0.5000 0.5000 0.3985
Hg1 Hg 0.0000 0.0000 0.6219
Ru1 Ru 0.5000 0.5000 0.7813
```

Summary:
- Calculated volume: 26.001 A^3/atom
- Total magnetic moment: 0.00 μB/f.u.
- E_tot: -3.292 eV per atom


Below is a geometry-optimized CaHgRu2 structure, with properties calculated at the PBE level.

The structure in CIF format:
```
data_CaHgRu2
_chemical_formula_sum 'Ca3 Hg3 Ru6'
_space_group_name_H-M_alt 'R -3 m'
_space_group_IT_number 166
_space_group_name_Hall '-R 3 2"'
_cell_length_a 3.0023
_cell_length_b 3.0023
_cell_length_c 28.1817
_cell_angle_alpha 90.00
_cell_angle_beta 90.00
_cell_angle_gamma 120.00
loop_
_atom_site_label
_atom_site_type_symbol
_atom_site_fract_x
_atom_site_fract_y
_atom_site_fract_z
Ca1 Ca 0.0000 0.0000 0.0000
Hg1 Hg 0.0000 0.0000 0.5000
Ru1 Ru 0.0000 0.0000 0.2478
```

Summary:
- Calculated volume: 18.333 A^3/atom
- Total magnetic moment: 0.93 μB/f.u.
- E_tot: -4.543 eV per atom


Below is a geometry-optimized CaHgRu2 structure, with properties calculated at the PBE level.

The structure in CIF format:
```
data_CaHgRu2
_chemical_formula_sum 'Ca1 Hg1 Ru2'
_space_group_name_H-M_alt 'P m m m'
_space_group_IT_number 47
_space_group_name_Hall '-P 2 2'
_cell_length_a 2.9207
_cell_length_b 4.4094
_cell_length_c 5.8518
_cell_angle_alpha 90.00
_cell_angle_beta 90.00
_cell_angle_gamma 90.00
loop_
_atom_site_label
_atom_site_type_symbol
_atom_site_fract_x
_atom_site_fract_y
_atom_site_fract_z
Ca1 Ca 0.0000 0.0000 0.0000
Hg1 Hg 0.0000 0.0000 0.5000
Ru1 Ru 0.5000 0.5000 0.2600
```

Summary:
- Calculated volume: 18.841 A^3/atom
- Total magnetic moment: 2.84 μB/f.u.
- E_tot: -4.615 eV per atom


Below is a geometry-optimized CaHg2Ru structure, with properties calculated at the PBE level.

The structure in CIF format:
```
data_CaHg2Ru
_chemical_formula_sum 'Ca2 Hg4 Ru2'
_space_group_name_H-M_alt 'I 4/m m m'
_space_group_IT_number 139
_space_group_name_Hall '-I 4 2'
_cell_length_a 4.4374
_cell_length_b 4.4374
_cell_length_c 8.3650
_cell_angle_alpha 90.00
_cell_angle_beta 90.00
_cell_angle_gamma 90.00
loop_
_atom_site_label
_atom_site_type_symbol
_atom_site_fract_x
_atom_site_fract_y
_atom_site_fract_z
Ca1 Ca 0.0000 0.0000 0.0000
Hg1 Hg 0.0000 0.5000 0.2500
Ru1 Ru 0.0000 0.0000 0.5000
```

Summary:
- Calculated volume: 20.589 A^3/atom
- Total magnetic moment: 0.00 μB/f.u.
- E_tot: -2.882 eV per atom


Below is a geometry-optimized Ca3HgRu structure, with properties calculated at the PBE level.

The structure in CIF format:
```
data_Ca3HgRu
_chemical_formula_sum 'Ca3 Hg1 Ru1'
_space_group_name_H-M_alt 'P m -3 m'
_space_group_IT_number 221
_space_group_name_Hall '-P 4 2 3'
_cell_length_a 5.6616
_cell_length_b 5.6616
_cell_length_c 5.6616
_cell_angle_alpha 90.00
_cell_angle_beta 90.00
_cell_angle_gamma 90.00
loop_
_atom_site_label
_atom_site_type_symbol
_atom_site_fract_x
_atom_site_fract_y
_atom_site_fract_z
Ca1 Ca 0.0000 0.0000 0.5000
Hg1 Hg 0.0000 0.0000 0.0000
Ru1 Ru 0.5000 0.5000 0.5000
```

Summary:
- Calculated volume: 36.294 A^3/atom
- Total magnetic moment: 2.09 μB/f.u.
- E_tot: -2.416 eV per atom